No. 1
Entry from Alexandria via LeMat-Bulk: ZrAlMo after structural relaxation (PBE-GGA).

Offset from the most stable computed form in eV/atom: 0.265
Total moment in μB per atom: 0.000
DFT total energy in eV per formula unit: -23.375
Calculated formation energy in eV per atom: -0.084

Cell and atoms, written as CIF:
```
data_ZrAlMo
_cell_length_a 4.6977
_cell_length_b 4.6977
_cell_length_c 2.8095
_cell_angle_alpha 90.00
_cell_angle_beta 90.00
_cell_angle_gamma 120.00
_symmetry_space_group_name_H-M 'P 3 m 1'
_symmetry_Int_Tables_number 156
loop_
_symmetry_equiv_pos_as_xyz
'x,y,z'
'-y,x-y,z'
'-x+y,-x,z'
'-y,-x,z'
'-x+y,y,z'
'x,x-y,z'
loop_
_atom_site_label
_atom_site_type_symbol
_atom_site_fract_x
_atom_site_fract_y
_atom_site_fract_z
Zr1 Zr 0.0000 0.0000 0.0000
Al1 Al 0.3333 0.6667 0.4220
Mo1 Mo 0.6667 0.3333 0.7052
```



No. 2
Entry from Alexandria via LeMat-Bulk: La2NdCu after structural relaxation (PBE-GGA).

Offset from the most stable computed form in eV/atom: 0.009
Total moment in μB per atom: 0.000
DFT total energy in eV per formula unit: -18.930
Calculated formation energy in eV per atom: -0.053

Cell and atoms, written as CIF:
```
data_La2NdCu
_cell_length_a 5.037
_cell_length_b 12.078
_cell_length_c 7.905
_cell_angle_alpha 90.00
_cell_angle_beta 90.00
_cell_angle_gamma 90.00
_symmetry_space_group_name_H-M 'C m c m'
_symmetry_Int_Tables_number 63
_symmetry_space_group_name_Hall '-C 2c 2'
loop_
_atom_site_label
_atom_site_type_symbol
_atom_site_fract_x
_atom_site_fract_y
_atom_site_fract_z
La1 La 0.000 0.143 0.031
Nd1 Nd 0.000 0.451 0.250
Cu1 Cu 0.000 0.297 0.750
```



No. 3
Entry from Alexandria via LeMat-Bulk: CsPaTe4Pd after structural relaxation (PBE-GGA).

Total moment in μB per atom: 0.000
DFT total energy in eV per formula unit: -33.333
ΔE_f (raw) in eV/atom: -0.746

Cell and atoms, written as CIF:
```
data_CsPaTe4Pd
_cell_length_a 7.635
_cell_length_b 6.242
_cell_length_c 10.680
_cell_angle_alpha 90.00
_cell_angle_beta 106.90
_cell_angle_gamma 90.00
_symmetry_space_group_name_H-M 'P 1 21/m 1'
_symmetry_Int_Tables_number 11
loop_
_symmetry_equiv_pos_as_xyz
'x,y,z'
'-x,-y,-z'
'-x,y+1/2,-z'
'x,-y+1/2,z'
loop_
_atom_site_label
_atom_site_type_symbol
_atom_site_fract_x
_atom_site_fract_y
_atom_site_fract_z
Cs1 Cs 0.215 0.250 0.049
Pa1 Pa 0.278 0.250 0.554
Te1 Te 0.015 0.503 0.686
Te2 Te 0.429 0.750 0.597
Te3 Te 0.477 0.750 0.174
Pd1 Pd 0.278 0.750 0.341
```



No. 4
Entry from Alexandria via LeMat-Bulk: SbMoRh2 after structural relaxation (PBE-GGA).

Total moment in μB per atom: 0.000
DFT total energy in eV per formula unit: -29.801
ΔE_f (raw) in eV/atom: -0.036

Cell and atoms, written as CIF:
```
data_SbMoRh2
_cell_length_a 2.901
_cell_length_b 4.523
_cell_length_c 4.919
_cell_angle_alpha 90.00
_cell_angle_beta 90.00
_cell_angle_gamma 90.00
_symmetry_space_group_name_H-M 'P m m 2'
_symmetry_Int_Tables_number 25
loop_
_symmetry_equiv_pos_as_xyz
'x,y,z'
'-x,-y,z'
'-x,y,z'
'x,-y,z'
loop_
_atom_site_label
_atom_site_type_symbol
_atom_site_fract_x
_atom_site_fract_y
_atom_site_fract_z
Sb1 Sb 0.000 0.000 0.000
Mo1 Mo 0.000 0.500 0.639
Rh1 Rh 0.500 0.000 0.477
Rh2 Rh 0.500 0.500 0.146
```



No. 5
Entry from Alexandria via LeMat-Bulk: AgPH2 after structural relaxation (PBE-GGA).

Offset from the most stable computed form in eV/atom: 0.455
Total moment in μB per atom: 0.000
DFT total energy in eV per formula unit: -12.891

Cell and atoms, written as CIF:
```
data_AgPH2
_cell_length_a 3.902
_cell_length_b 3.902
_cell_length_c 11.563
_cell_angle_alpha 90.00
_cell_angle_beta 90.00
_cell_angle_gamma 90.00
_symmetry_space_group_name_H-M 'I -4 2 d'
_symmetry_Int_Tables_number 122
_symmetry_space_group_name_Hall 'I -4 2bw'
loop_
_atom_site_label
_atom_site_type_symbol
_atom_site_fract_x
_atom_site_fract_y
_atom_site_fract_z
Ag1 Ag 0.000 0.000 0.000
P1 P 0.000 0.000 0.500
H1 H 0.003 0.750 0.625
```



No. 6
Entry from Alexandria via LeMat-Bulk: BaNi3P2 after structural relaxation (PBE-GGA).

Total moment in μB per atom: 0.000
DFT total energy in eV per formula unit: -34.060
Calculated formation energy in eV per atom: -0.662

Cell and atoms, written as CIF:
```
data_BaNi3P2
_cell_length_a 14.582
_cell_length_b 3.785
_cell_length_c 7.926
_cell_angle_alpha 90.00
_cell_angle_beta 112.70
_cell_angle_gamma 90.00
_symmetry_space_group_name_H-M 'C 1 2/m 1'
_symmetry_Int_Tables_number 12
loop_
_symmetry_equiv_pos_as_xyz
'x,y,z'
'-x,-y,-z'
'-x,y,-z'
'x,-y,z'
'x+1/2,y+1/2,z'
'-x+1/2,-y+1/2,-z'
'-x+1/2,y+1/2,-z'
'x+1/2,-y+1/2,z'
loop_
_atom_site_label
_atom_site_type_symbol
_atom_site_fract_x
_atom_site_fract_y
_atom_site_fract_z
Ba1 Ba 0.143 0.000 0.059
Ni1 Ni 0.049 0.000 0.397
Ni2 Ni 0.091 0.500 0.644
Ni3 Ni 0.187 0.500 0.448
P1 P 0.027 0.500 0.246
P2 P 0.186 0.000 0.650
```



What DOS at the Fermi energy values result from the calculations? In sequence: 2.71, 4.76, 5.61, 3.78, 0.52, 4.06 states/eV/f.u..